Computed, not measured: a geometry-optimized CrMoClO4 structure at the PBE with a Hubbard U level of DFT.

The calculation puts the mass density at 3369 kg/m3. As for the total DFT energy (no corrections): -6.762 eV/atom.

It has space group C2/m (No. 12), with a = 9.084 Å, b = 6.864 Å, c = 9.001 Å, α = 90.00°, β = 119.64° and γ = 90.00°. Symmetry generates all atoms from Cr at (0.041, 0.000, 0.215), Mo at (0.189, 0.500, 0.323), Cl at (0.198, 0.000, 0.068), O at (0.059, 0.290, 0.225), O at (0.127, 0.000, 0.701) and O at (0.242, 0.000, 0.452).